(1)
# K2MnHgBr6 | the Alexandria database | PBE | relaxed
data_K2MnHgBr6
_cell_length_a 7.269
_cell_length_b 7.561
_cell_length_c 7.873
_cell_angle_alpha 94.09
_cell_angle_beta 116.37
_cell_angle_gamma 116.37
_space_group_name_H-M_alt 'P -1'
_space_group_IT_number 2
_space_group_name_Hall '-P 1'
loop_
_atom_site_label
_atom_site_fract_x
_atom_site_fract_y
_atom_site_fract_z
K1 0.029 0.278 0.287
Mn1 0.500 0.000 0.500
Hg1 0.500 0.500 0.000
Br1 0.036 0.839 0.320
Br2 0.365 0.706 0.147
Br3 0.466 0.718 0.683
# Formation energy from raw total energies ... -1.041 eV per atom
# Total energy ... -3.211 eV/atom
# Magnetic moment ... 5.000 μB/f.u.

=====

(2)
# KMnHg2Br8 | the Alexandria database | PBE | relaxed
data_KMnHg2Br8
_cell_length_a 6.920
_cell_length_b 7.526
_cell_length_c 9.223
_cell_angle_alpha 110.40
_cell_angle_beta 94.93
_cell_angle_gamma 98.02
_space_group_name_H-M_alt 'P -1'
_space_group_IT_number 2
_space_group_name_Hall '-P 1'
loop_
_atom_site_label
_atom_site_fract_x
_atom_site_fract_y
_atom_site_fract_z
K1 0.000 0.000 0.000
Mn1 0.000 0.000 0.500
Hg1 0.484 0.705 0.205
Br1 0.113 0.751 0.222
Br2 0.184 0.864 0.655
Br3 0.290 0.262 0.537
Br4 0.445 0.282 0.070
# Formation energy from raw total energies ... -0.722 eV per atom
# Total energy ... -2.743 eV/atom
# Magnetic moment ... 4.000 μB/f.u.

=====

(3)
# KMnHgBr6 | the Alexandria database | PBE | relaxed
data_KMnHgBr6
_cell_length_a 7.0980
_cell_length_b 7.0980
_cell_length_c 14.3704
_cell_angle_alpha 90.00
_cell_angle_beta 90.00
_cell_angle_gamma 120.00
_space_group_name_H-M_alt 'P -3 1 c'
_space_group_IT_number 163
_space_group_name_Hall '-P 3 2c'
loop_
_atom_site_label
_atom_site_fract_x
_atom_site_fract_y
_atom_site_fract_z
K1 0.0000 0.0000 0.0000
Mn1 0.3333 0.6667 0.2500
Hg1 0.3333 0.6667 0.7500
Br1 0.0299 0.3889 0.1436
# Formation energy from raw total energies ... -0.791 eV per atom
# Total energy ... -3.080 eV/atom
# Magnetic moment ... 4.000 μB/f.u.

=====

(4)
# KHg2MoBr8 | the Alexandria database | PBE | relaxed
data_KHg2MoBr8
_cell_length_a 6.974
_cell_length_b 7.656
_cell_length_c 9.060
_cell_angle_alpha 104.37
_cell_angle_beta 94.84
_cell_angle_gamma 104.88
_space_group_name_H-M_alt 'P -1'
_space_group_IT_number 2
_space_group_name_Hall '-P 1'
loop_
_atom_site_label
_atom_site_fract_x
_atom_site_fract_y
_atom_site_fract_z
K1 0.000 0.000 0.000
Hg1 0.363 0.454 0.776
Mo1 0.000 0.000 0.500
Br1 0.047 0.752 0.258
Br2 0.133 0.822 0.675
Br3 0.369 0.215 0.518
Br4 0.493 0.245 0.008
# Formation energy from raw total energies ... -0.652 eV per atom
# Total energy ... -2.811 eV/atom
# Magnetic moment ... 3.006 μB/f.u.